Material: GaAgTeSe
Method: DFT, PBEsol
State: relaxed

Values from the calculation:
* symmetry: I2_12_12_1
* calculated volume: 26.864 Å³ per atom
* calculated total energy: -3.82 eV per atom
* formation energy from raw total energies: -0.3083 eV per atom
* magnetic moment: 0.0 μB per formula unit

a = 6.0138 Å, b = 6.1812 Å, c = 7.2123 Å
α = 115.37°, β = 114.64°, γ = 90.00°
Fractional coordinates of all 8 atoms:
Se (0.7500, 0.4700, 0.0000)
Se (0.2500, 0.0300, 0.0000)
Ag (0.6109, 0.8609, 0.2218)
Ag (0.8891, 0.6391, 0.7782)
Te (0.4920, 0.7500, 0.5000)
Te (0.0080, 0.2500, 0.5000)
Ga (0.1188, 0.3688, 0.2376)
Ga (0.3812, 0.1312, 0.7624)

Material: SrLi3Nb
Method: DFT, PBEsol
State: relaxed

Values from the calculation:
* symmetry: Pm-3m
* calculated volume: 21.486 Å³ per atom
* calculated total energy: -2.24 eV per atom
* magnetic moment: 2.0 μB per formula unit

a = 4.7538 Å, b = 4.7538 Å, c = 4.7538 Å
α = 90.00°, β = 90.00°, γ = 90.00°
Each line ends with the local moment (μB).
Fractional coordinates of all 5 atoms:
Sr (0.0000, 0.0000, 0.0000)  -0.01
Li (0.0000, 0.0000, 0.5000)  0.00
Li (0.0000, 0.5000, 0.0000)  0.00
Li (0.5000, 0.0000, 0.0000)  0.00
Nb (0.5000, 0.5000, 0.5000)  1.46

Material: LiZn2Pt
Method: DFT, PBEsol
State: relaxed

Values from the calculation:
* symmetry: I-4m2
* calculated volume: 13.397 Å³ per atom
* calculated total energy: -3.49 eV per atom
* magnetic moment: 0.0 μB per formula unit

a = 3.6859 Å, b = 3.6859 Å, c = 4.7276 Å
α = 112.94°, β = 112.94°, γ = 90.00°
Fractional coordinates of all 4 atoms:
Li (0.5000, 0.5000, 0.0000)
Zn (0.0000, 0.0000, 0.0000)
Zn (0.2500, 0.7500, 0.5000)
Pt (0.7500, 0.2500, 0.5000)

Material: NbSb2Ir
Method: DFT, PBEsol
State: relaxed

Values from the calculation:
* symmetry: Fm-3m
* calculated volume: 18.264 Å³ per atom
* calculated total energy: -7.40 eV per atom
* formation energy from raw total energies: 0.0372 eV per atom
* magnetic moment: 0.0 μB per formula unit

a = 4.6923 Å, b = 4.6923 Å, c = 4.6923 Å
α = 60.00°, β = 60.00°, γ = 60.00°
Fractional coordinates of all 4 atoms:
Nb (0.0000, 0.0000, 0.0000)
Sb (0.2500, 0.2500, 0.2500)
Sb (0.7500, 0.7500, 0.7500)
Ir (0.5000, 0.5000, 0.5000)

Material: MgIn2Ag
Method: DFT, PBEsol
State: relaxed

Values from the calculation:
* symmetry: I-4m2
* calculated volume: 20.992 Å³ per atom
* calculated total energy: -2.82 eV per atom
* magnetic moment: 0.0 μB per formula unit

a = 4.3809 Å, b = 4.3809 Å, c = 5.3607 Å
α = 114.12°, β = 114.12°, γ = 90.00°
Fractional coordinates of all 4 atoms:
In (0.7500, 0.2500, 0.5000)
In (0.0000, 0.0000, 0.0000)
Mg (0.5000, 0.5000, 0.0000)
Ag (0.2500, 0.7500, 0.5000)

Material: YAsSe3
Method: DFT, PBEsol
State: relaxed

Values from the calculation:
* symmetry: Pm-3m
* calculated volume: 30.292 Å³ per atom
* calculated total energy: -4.61 eV per atom
* formation energy from raw total energies: 0.0866 eV per atom
* magnetic moment: 0.9 μB per formula unit

a = 5.3305 Å, b = 5.3305 Å, c = 5.3305 Å
α = 90.00°, β = 90.00°, γ = 90.00°
Each line ends with the local moment (μB).
Fractional coordinates of all 5 atoms:
Se (0.5000, 0.0000, 0.0000)  -0.09
Se (0.0000, 0.5000, 0.0000)  -0.09
Se (0.0000, 0.0000, 0.5000)  -0.09
As (0.5000, 0.5000, 0.5000)  0.58
Y (0.0000, 0.0000, 0.0000)  0.01

Which formula does entry 6 have?
YAsSe3

Which formula does entry 5 have?
MgIn2Ag